Computed, not measured: a geometry-optimized TaAgMo2 structure at the PBE-GGA level of DFT.

ΔE to the lowest computed polymorph   0.238 eV per atom
E_form   0.410 eV per atom

```
4
Lattice="-4.291 -0.597 9.220 -6.024 -2.335 7.876 -3.619 -3.298 8.933" Properties=species:S:1:pos:R:3 pbc="T T T"
Mo -13.922 -6.226 26.007
Ta -6.971 -3.117 13.022
Ag -10.433 -4.666 19.490
Mo -3.510 -1.569 6.556
```

***

Computed, not measured: a geometry-optimized Er2PuMg structure at the PBE-GGA level of DFT.

ΔE to the lowest computed polymorph   0.098 eV per atom
E_form   0.146 eV per atom

```
4
Lattice="-0.151 1.142 5.291 -4.183 -1.662 3.010 0.685 -3.947 3.642" Properties=species:S:1:pos:R:3 pbc="T T T"
Er -2.737 -3.350 8.957
Pu 0.000 0.000 0.000
Er -0.912 -1.117 2.986
Mg -1.824 -2.233 5.972
```

***

Computed, not measured: a geometry-optimized LaIr structure at the PBE-GGA level of DFT.

E_form   -0.562 eV per atom

```
8
Lattice="2.194 -3.800 0.000 2.194 3.800 0.000 0.000 0.000 14.670" Properties=species:S:1:pos:R:3 pbc="T T T"
Ir 2.194 1.267 3.668
La 2.194 -1.267 1.821
Ir 2.194 -1.267 11.003
Ir 0.000 0.000 11.003
Ir 0.000 0.000 3.668
La 2.194 -1.267 5.514
La 2.194 1.267 9.156
La 2.194 1.267 12.850
```

***

Computed, not measured: a geometry-optimized Cu2OsAu2 structure at the PBE-GGA level of DFT.

ΔE to the lowest computed polymorph   0.402 eV per atom
E_form   0.895 eV per atom

```
5
Lattice="3.742 0.000 0.000 0.000 3.742 0.000 1.871 1.871 5.931" Properties=species:S:1:pos:R:3 pbc="T T T"
Au 3.742 1.871 2.966
Cu 3.742 3.742 4.810
Au 1.871 3.742 2.966
Os 0.000 0.000 0.000
Cu 1.871 1.871 1.121
```

***

Computed, not measured: a geometry-optimized La3Pr2Ho7 structure at the PBE-GGA level of DFT.

E_form   0.082 eV per atom

```
12
Lattice="-0.083 -2.571 2.551 -3.012 -3.508 -3.632 16.900 -6.516 -6.017" Properties=species:S:1:pos:R:3 pbc="T T T"
Ho 0.000 0.000 0.000
Ho 5.512 -6.895 -4.196
Ho 8.293 -5.699 -2.902
Pr 2.718 -5.680 -3.063
La 8.345 -6.830 -6.611
La -1.547 -3.039 -0.540
Ho 11.557 -9.520 -6.645
Ho 0.313 -3.348 -3.363
Ho 13.574 -6.675 -6.286
Ho 2.248 -3.074 -0.452
Pr 11.086 -6.914 -4.035
La 5.542 -3.194 -3.038
```

***

Computed, not measured: a geometry-optimized CuMoI2N structure at the PBE-GGA level of DFT.

Formation energy without anion corrections   1.249 eV/atom
ΔE to the lowest computed polymorph   0.714 eV per atom

```
5
Lattice="-2.246 -4.539 2.405 5.100 -1.658 1.635 -0.401 1.862 3.139" Properties=species:S:1:pos:R:3 pbc="T T T"
I -1.123 -2.269 1.203
N -0.200 0.931 1.569
Mo 1.226 -2.167 3.589
Cu 0.000 0.000 0.000
I 2.550 -0.829 0.817
```

***

Computed, not measured: a geometry-optimized Ni2IrBr structure at the PBE-GGA level of DFT.

Formation energy without anion corrections   0.773 eV/atom
ΔE to the lowest computed polymorph   0.407 eV per atom

```
4
Lattice="-2.245 4.240 -1.699 -4.865 -0.499 -1.411 3.423 -0.292 3.755" Properties=species:S:1:pos:R:3 pbc="T T T"
Ni -0.037 0.020 -0.016
Br -2.498 0.540 0.395
Ni -3.518 1.851 -1.539
Ir -1.188 2.909 0.251
```

***

Computed, not measured: a geometry-optimized KMnAg structure at the PBE-GGA level of DFT.

ΔE to the lowest computed polymorph   0.110 eV per atom
E_form   0.619 eV per atom

```
3
Lattice="-3.759 0.818 -2.624 3.140 -3.162 -1.352 -2.526 -3.579 2.502" Properties=species:S:1:pos:R:3 pbc="T T T"
K -2.302 -1.702 -1.366
Ag -2.105 -2.982 2.085
Mn -1.265 -4.817 0.309
```

***

Computed, not measured: a geometry-optimized BSb3Ir structure at the PBE-GGA level of DFT.

Formation energy without anion corrections   1.365 eV/atom
ΔE to the lowest computed polymorph   0.412 eV per atom

```
5
Lattice="5.193 0.000 0.000 0.000 5.193 0.000 0.000 0.000 5.193" Properties=species:S:1:pos:R:3 pbc="T T T"
Sb 2.596 0.000 0.000
Sb 0.000 2.596 0.000
Sb 0.000 0.000 2.596
B 2.596 2.596 2.596
Ir 0.000 0.000 0.000
```

***

Computed, not measured: a geometry-optimized Pm2PdRh structure at the PBE-GGA level of DFT.

ΔE to the lowest computed polymorph   0.050 eV per atom
E_form   -0.737 eV per atom

```
4
Lattice="-1.751 1.910 4.308 -3.606 -2.414 2.538 1.074 -2.248 4.367" Properties=species:S:1:pos:R:3 pbc="T T T"
Rh 0.000 0.000 0.000
Pd -2.141 -1.376 5.607
Pm -3.212 -2.064 8.410
Pm -1.071 -0.688 2.803
```

***

Computed, not measured: a geometry-optimized NbVC3 structure at the PBE-GGA level of DFT.

ΔE to the lowest computed polymorph   0.000 eV per atom
E_form   1.415 eV per atom

```
5
Lattice="-1.147 -3.136 -1.816 1.546 -2.146 2.730 -3.277 0.085 1.923" Properties=species:S:1:pos:R:3 pbc="T T T"
C -1.639 0.043 0.961
C 0.773 -1.073 1.365
V 0.000 0.000 0.000
Nb -1.439 -2.598 1.418
C -0.573 -1.568 -0.908
```

***

Computed, not measured: a geometry-optimized CSe2 structure at the PBE-GGA level of DFT.

Formation energy without anion corrections   1.500 eV/atom
ΔE to the lowest computed polymorph   0.939 eV per atom

```
3
Lattice="-1.741 0.713 2.575 -0.533 -3.104 0.499 3.791 -0.229 2.627" Properties=species:S:1:pos:R:3 pbc="T T T"
Se -1.137 -1.196 1.537
C 0.000 0.000 0.000
Se 1.896 -0.115 1.313
```

***

Computed, not measured: a geometry-optimized CeYH structure at the PBE-GGA level of DFT.

ΔE to the lowest computed polymorph   0.047 eV per atom

```
3
Lattice="-2.276 -2.656 0.446 1.529 0.504 -3.137 4.423 -3.523 1.590" Properties=species:S:1:pos:R:3 pbc="T T T"
H 3.171 -2.867 -0.897
Y 0.877 -3.103 -0.071
Ce 4.052 -3.227 1.456
```

***

Computed, not measured: a geometry-optimized PtRh2W structure at the PBE-GGA level of DFT.

ΔE to the lowest computed polymorph   0.121 eV per atom
E_form   -0.123 eV per atom

```
4
Lattice="-3.852 5.592 -6.143 -2.482 3.922 -7.892 -5.002 3.201 -6.969" Properties=species:S:1:pos:R:3 pbc="T T T"
Rh -8.540 9.578 -15.823
Pt 0.000 0.000 0.000
W -5.668 6.357 -10.502
Rh -2.796 3.136 -5.181
```

***

Computed, not measured: a geometry-optimized RbTbBeSe3 structure at the PBE-GGA level of DFT.

Formation energy without anion corrections   -1.398 eV/atom

```
12
Lattice="4.046 0.000 0.000 0.000 9.587 -0.426 0.000 -2.952 9.237" Properties=species:S:1:pos:R:3 pbc="T T T"
Se 3.034 3.979 1.337
Se 1.011 -1.383 7.740
Rb 1.011 1.275 2.100
Be 3.034 7.686 3.258
Se 1.011 2.655 7.475
Se 3.034 8.018 1.072
Se 1.011 6.586 3.974
Tb 1.011 5.979 1.064
Se 3.034 0.048 4.837
Rb 3.034 5.360 6.712
Tb 3.034 0.656 7.747
Be 1.011 -1.051 5.554
```

***

Computed, not measured: a geometry-optimized Ce3DyGa8 structure at the PBE-GGA level of DFT.

E_form   -0.531 eV per atom

```
12
Lattice="-5.220 -1.859 0.489 -1.594 -2.628 4.636 -4.760 6.455 5.360" Properties=species:S:1:pos:R:3 pbc="T T T"
Ga -4.679 -2.040 5.570
Ce -6.723 3.973 6.615
Ga -9.151 2.980 8.554
Ga -3.886 -0.731 3.262
Ga -6.485 -1.656 3.505
Ga -7.047 1.133 8.231
Ce -4.745 6.405 5.337
Ga -3.359 1.977 3.303
Ce -5.802 1.032 5.265
Dy -7.744 -1.515 6.490
Ga -9.649 0.207 8.475
Ga -8.854 1.517 6.164
```

***

Computed, not measured: a geometry-optimized TaRuPb2 structure at the PBE-GGA level of DFT.

ΔE to the lowest computed polymorph   0.657 eV per atom
E_form   0.753 eV per atom

```
4
Lattice="3.490 0.000 0.000 0.000 5.217 0.000 0.000 0.000 4.566" Properties=species:S:1:pos:R:3 pbc="T T T"
Pb 0.000 0.000 0.000
Ta 0.000 2.608 2.283
Ru 1.745 0.000 2.283
Pb 1.745 2.608 0.000
```

***

Computed, not measured: a geometry-optimized AlCuAgPt structure at the PBE-GGA level of DFT.

E_form   -0.383 eV per atom

```
4
Lattice="4.373 0.000 0.000 2.187 3.787 0.000 2.187 1.262 3.571" Properties=species:S:1:pos:R:3 pbc="T T T"
Pt 6.560 3.787 2.678
Ag 2.187 1.262 0.893
Cu 4.373 2.525 1.785
Al 0.000 0.000 0.000
```

***

Computed, not measured: a geometry-optimized BeNiTe structure at the PBE-GGA level of DFT.

Formation energy without anion corrections   0.183 eV/atom

```
3
Lattice="3.811 0.000 0.000 -1.905 3.300 0.000 0.000 0.000 3.599" Properties=species:S:1:pos:R:3 pbc="T T T"
Ni 1.905 1.100 0.603
Te 0.000 2.200 2.397
Be 0.000 0.000 0.599
```

***

Computed, not measured: a geometry-optimized La3PmGe2 structure at the PBE-GGA level of DFT.

ΔE to the lowest computed polymorph   0.254 eV per atom
E_form   -0.360 eV per atom

```
12
Lattice="8.252 0.953 0.743 3.569 7.501 0.743 3.569 2.552 7.092" Properties=species:S:1:pos:R:3 pbc="T T T"
Ge 2.233 1.597 1.245
Ge 5.462 3.906 3.044
Pm 0.000 0.000 0.000
La 8.726 8.422 2.887
Pm 7.695 5.503 4.289
Ge 9.928 7.100 5.533
La 7.417 6.688 7.461
La 6.664 2.584 5.691
La 10.790 4.152 4.662
La 7.974 4.319 1.116
La 4.600 6.855 3.915
Ge 13.157 9.409 7.333
```

***

V, respectively: 68.2, 112.2, 61.2, 83.1, 405.9, 115.4, 56.8, 94.7, 140.0, 89.9, 54.9, 47.0, 63.2, 60.3, 176.6, 243.7, 83.1, 59.1, 45.3, 194.3 Å³/f.u..